! PBE with a Hubbard U Na2Er2MoO6, relaxed; values from VASP
&SYSTEM
  ibrav = 0, nat = 11, ntyp = 4
/
ATOMIC_SPECIES
Na 22.99 Na.upf
Er 167.26 Er.upf
Mo 95.94 Mo.upf
O 16.00 O.upf
ATOMIC_POSITIONS crystal
Na 0.1546 0.8454 0.0000
Na 0.8454 0.1546 0.0000
Er 0.3372 0.6628 0.5000
Er 0.6628 0.3372 0.5000
Mo 0.0000 0.0000 0.5000
O 0.0517 0.3684 0.6927
O 0.2529 0.2529 0.2985
O 0.3684 0.0517 0.6927
O 0.6316 0.9483 0.3073
O 0.7471 0.7471 0.7015
O 0.9483 0.6316 0.3073
CELL_PARAMETERS angstrom
2.8915 -4.9391 0.0000
2.8915 4.9391 0.0000
-1.7714 0.0000 5.6357
! **Raw total energy**: -6.935 eV per atom
! **DOS(E_F)**: 0.000 states/eV per cell
! **ρ**: 5.905 g cm⁻³
! **Space-group type**: C2/m, No. 12